Density functional theory data (GGA-PBE) for a geometry-optimized Sr2HgCl structure.

The total magnetic moment comes out at 0.0000 μB/atom. As for the energy above the most stable polymorph in this dataset: 0.48 eV per formula unit. Its uncorrected formation energy is -0.981 eV per atom.

a b c (Å): 7.3020 7.3020 7.3020
angles (deg): 111.87 111.87 104.77
Last column: nearest neighbours and their distance in Å.
Element x y z (fractional)
1 Sr 0.1014 0.6250 0.9764  2 Cl 2.98, 2 Hg 3.23
2 Sr 0.3750 0.3514 0.4764  2 Cl 2.98, 2 Hg 3.23
3 Sr 0.6486 0.1250 0.0236  2 Cl 2.98, 2 Hg 3.23
4 Sr 0.8750 0.8986 0.5236  2 Cl 2.98, 2 Hg 3.23
5 Hg 0.2500 0.7500 0.5000  4 Sr 3.23
6 Hg 0.5000 0.5000 0.0000  4 Sr 3.23
7 Cl 0.0000 0.0000 0.0000  4 Sr 2.98
8 Cl 0.7500 0.2500 0.5000  4 Sr 2.98